(1)
Entry from Alexandria: a geometry-optimized Tl2AgTe4P structure (PBE-GGA).

Properties
- Raw formation energy: -69 meV per atom

Unit cell a=8.239 b=8.239 c=8.168 alpha=90.00 beta=90.00 gamma=90.00
Element x y z (fractional)
Tl  0.000  0.000  0.000
Tl  0.000  0.500  0.250
Tl  0.500  0.000  0.750
Tl  0.500  0.500  0.500
Ag  0.000  0.500  0.750
Ag  0.500  0.000  0.250
Te  0.152  0.212  0.660
Te  0.212  0.848  0.340
Te  0.288  0.652  0.840
Te  0.348  0.288  0.160
Te  0.652  0.712  0.160
Te  0.712  0.348  0.840
Te  0.788  0.152  0.340
Te  0.848  0.788  0.660
P  0.000  0.000  0.500
P  0.500  0.500  0.000

***

(2)
Entry from Alexandria: a geometry-optimized LaRu2W structure (PBE-GGA).

Properties
- Fermi-level density of states: 4.72 states/eV/f.u.
- Total DFT energy (no corrections): -8.47 eV per atom

Unit cell a=2.876 b=2.876 c=29.856 alpha=90.00 beta=90.00 gamma=120.00
Element x y z (fractional)
La  0.000  0.000  0.000
La  0.333  0.667  0.667
La  0.667  0.333  0.333
Ru  0.000  0.000  0.496
Ru  0.000  0.000  0.760
Ru  0.333  0.667  0.163
Ru  0.333  0.667  0.427
Ru  0.667  0.333  0.093
Ru  0.667  0.333  0.829
W  0.000  0.000  0.235
W  0.333  0.667  0.902
W  0.667  0.333  0.569